1 | # Tm4AgOs, relaxed, DFT PBE-GGA
# - M_tot (Bohr magnetons per cell) = 0.00
data_Tm4AgOs
_chemical_formula_sum 'Tm64 Ag16 Os16'
_space_group_name_H-M_alt 'F -4 3 m'
_space_group_IT_number 216
_space_group_name_Hall 'F -4 2 3'
_cell_length_a 13.343
_cell_length_b 13.343
_cell_length_c 13.343
_cell_angle_alpha 90.00
_cell_angle_beta 90.00
_cell_angle_gamma 90.00
loop_
_atom_site_label
_atom_site_fract_x
_atom_site_fract_y
_atom_site_fract_z
Tm1 0.000 0.000 0.190
Tm2 0.058 0.250 0.250
Tm3 0.151 0.151 0.651
Ag1 0.082 0.082 0.418
Os1 0.140 0.140 0.860

2 | # Tm4AgOs, relaxed, DFT PBE-GGA
# - M_tot (Bohr magnetons per cell) = 0.00
data_Tm4AgOs
_chemical_formula_sum 'Tm4 Ag1 Os1'
_space_group_name_H-M_alt 'P 4/m m m'
_space_group_IT_number 123
_space_group_name_Hall '-P 4 2'
_cell_length_a 4.811
_cell_length_b 4.811
_cell_length_c 6.956
_cell_angle_alpha 90.00
_cell_angle_beta 90.00
_cell_angle_gamma 90.00
loop_
_atom_site_label
_atom_site_fract_x
_atom_site_fract_y
_atom_site_fract_z
Tm1 0.000 0.500 0.232
Ag1 0.000 0.000 0.500
Os1 0.500 0.500 0.000

Which structure is most stable, and how do the rest compare? From most to least stable: 1, 2.

1 | # V2Ag2Os, relaxed, DFT PBE-GGA
# - M_tot (Bohr magnetons per cell) = 2.90
data_V2Ag2Os
_chemical_formula_sum 'V4 Ag4 Os2'
_space_group_name_H-M_alt 'I 4/m m m'
_space_group_IT_number 139
_space_group_name_Hall '-I 4 2'
_cell_length_a 3.210
_cell_length_b 3.210
_cell_length_c 15.979
_cell_angle_alpha 90.00
_cell_angle_beta 90.00
_cell_angle_gamma 90.00
loop_
_atom_site_label
_atom_site_fract_x
_atom_site_fract_y
_atom_site_fract_z
V1 0.000 0.500 0.250
Ag1 0.000 0.000 0.105
Os1 0.000 0.000 0.500

2 | # V2Ag2Os, relaxed, DFT PBE-GGA
# - M_tot (Bohr magnetons per cell) = 2.08
data_V2Ag2Os
_chemical_formula_sum 'V4 Ag4 Os2'
_space_group_name_H-M_alt 'P 4/m b m'
_space_group_IT_number 127
_space_group_name_Hall '-P 4 2ab'
_cell_length_a 7.445
_cell_length_b 7.445
_cell_length_c 2.798
_cell_angle_alpha 90.00
_cell_angle_beta 90.00
_cell_angle_gamma 90.00
loop_
_atom_site_label
_atom_site_fract_x
_atom_site_fract_y
_atom_site_fract_z
V1 0.176 0.324 0.000
Ag1 0.125 0.625 0.500
Os1 0.000 0.000 0.500

Which structure is most stable, and how do the rest compare? From most to least stable: 2, 1.

1 | # Ag2OsW, relaxed, DFT PBE-GGA
# - M_tot (Bohr magnetons per cell) = 0.00
data_Ag2OsW
_chemical_formula_sum 'Ag2 Os1 W1'
_space_group_name_H-M_alt 'P m m m'
_space_group_IT_number 47
_space_group_name_Hall '-P 2 2'
_cell_length_a 3.064
_cell_length_b 4.361
_cell_length_c 4.919
_cell_angle_alpha 90.00
_cell_angle_beta 90.00
_cell_angle_gamma 90.00
loop_
_atom_site_label
_atom_site_fract_x
_atom_site_fract_y
_atom_site_fract_z
Ag1 0.000 0.000 0.000
Ag2 0.500 0.500 0.000
Os1 0.000 0.500 0.500
W1 0.500 0.000 0.500

2 | # Ag2OsW, relaxed, DFT PBE-GGA
# - M_tot (Bohr magnetons per cell) = 0.46
data_Ag2OsW
_chemical_formula_sum 'Ag4 Os2 W2'
_space_group_name_H-M_alt 'C m m m'
_space_group_IT_number 65
_space_group_name_Hall '-C 2 2'
_cell_length_a 5.245
_cell_length_b 9.172
_cell_length_c 2.715
_cell_angle_alpha 90.00
_cell_angle_beta 90.00
_cell_angle_gamma 90.00
loop_
_atom_site_label
_atom_site_fract_x
_atom_site_fract_y
_atom_site_fract_z
Ag1 0.250 0.250 0.000
Os1 0.000 0.000 0.500
W1 0.000 0.500 0.500

Which structure is most stable, and how do the rest compare? From most to least stable: 1, 2.

1 | # Ag2OsW, relaxed, DFT PBE-GGA
# - M_tot (Bohr magnetons per cell) = 0.00
data_Ag2OsW
_chemical_formula_sum 'Ag2 Os1 W1'
_space_group_name_H-M_alt 'P 4 m m'
_space_group_IT_number 99
_space_group_name_Hall 'P 4 -2'
_cell_length_a 2.937
_cell_length_b 2.937
_cell_length_c 7.871
_cell_angle_alpha 90.00
_cell_angle_beta 90.00
_cell_angle_gamma 90.00
loop_
_atom_site_label
_atom_site_fract_x
_atom_site_fract_y
_atom_site_fract_z
Ag1 0.000 0.000 0.000
Ag2 0.500 0.500 0.261
Os1 0.000 0.000 0.531
W1 0.500 0.500 0.724

2 | # Ag2OsW, relaxed, DFT PBE-GGA
# - M_tot (Bohr magnetons per cell) = 0.00
data_Ag2OsW
_chemical_formula_sum 'Ag4 Os2 W2'
_space_group_name_H-M_alt 'C m m 2'
_space_group_IT_number 35
_space_group_name_Hall 'C 2 -2'
_cell_length_a 2.947
_cell_length_b 4.654
_cell_length_c 9.714
_cell_angle_alpha 90.00
_cell_angle_beta 90.00
_cell_angle_gamma 90.00
loop_
_atom_site_label
_atom_site_fract_x
_atom_site_fract_y
_atom_site_fract_z
Ag1 0.000 0.000 0.000
Ag2 0.000 0.500 0.257
Os1 0.000 0.000 0.517
W1 0.000 0.500 0.738

3 | # Ag2OsW, relaxed, DFT PBE-GGA
# - M_tot (Bohr magnetons per cell) = 0.00
data_Ag2OsW
_chemical_formula_sum 'Ag4 Os2 W2'
_space_group_name_H-M_alt 'C m m m'
_space_group_IT_number 65
_space_group_name_Hall '-C 2 2'
_cell_length_a 2.859
_cell_length_b 4.618
_cell_length_c 9.979
_cell_angle_alpha 90.00
_cell_angle_beta 90.00
_cell_angle_gamma 90.00
loop_
_atom_site_label
_atom_site_fract_x
_atom_site_fract_y
_atom_site_fract_z
Ag1 0.000 0.000 0.248
Os1 0.000 0.500 0.000
W1 0.000 0.500 0.500

4 | # Ag2OsW, relaxed, DFT PBE-GGA
# - M_tot (Bohr magnetons per cell) = 0.46
data_Ag2OsW
_chemical_formula_sum 'Ag2 Os1 W1'
_space_group_name_H-M_alt 'P 4/m m m'
_space_group_IT_number 123
_space_group_name_Hall '-P 4 2'
_cell_length_a 2.688
_cell_length_b 2.688
_cell_length_c 8.994
_cell_angle_alpha 90.00
_cell_angle_beta 90.00
_cell_angle_gamma 90.00
loop_
_atom_site_label
_atom_site_fract_x
_atom_site_fract_y
_atom_site_fract_z
Ag1 0.000 0.000 0.247
Os1 0.500 0.500 0.000
W1 0.500 0.500 0.500

Which structure is most stable, and how do the rest compare? From most to least stable: 1, 2, 3, 4.

1 | # Ag2OsW, relaxed, DFT PBE-GGA
# - M_tot (Bohr magnetons per cell) = 0.63
data_Ag2OsW
_chemical_formula_sum 'Ag6 Os3 W3'
_space_group_name_H-M_alt 'R -3 m'
_space_group_IT_number 166
_space_group_name_Hall '-R 3 2"'
_cell_length_a 2.7702
_cell_length_b 2.7702
_cell_length_c 29.2949
_cell_angle_alpha 90.00
_cell_angle_beta 90.00
_cell_angle_gamma 120.00
loop_
_atom_site_label
_atom_site_fract_x
_atom_site_fract_y
_atom_site_fract_z
Ag1 0.0000 0.0000 0.2495
Os1 0.0000 0.0000 0.5000
W1 0.0000 0.0000 0.0000

2 | # Ag2OsW, relaxed, DFT PBE-GGA
# - M_tot (Bohr magnetons per cell) = 0.00
data_Ag2OsW
_chemical_formula_sum 'Ag4 Os2 W2'
_space_group_name_H-M_alt 'C 1 2/m 1'
_space_group_IT_number 12
_space_group_name_Hall '-C 2y'
_cell_length_a 9.902
_cell_length_b 2.792
_cell_length_c 4.744
_cell_angle_alpha 90.00
_cell_angle_beta 99.37
_cell_angle_gamma 90.00
loop_
_atom_site_label
_atom_site_fract_x
_atom_site_fract_y
_atom_site_fract_z
Ag1 0.249 0.000 0.250
Os1 0.000 0.500 0.000
W1 0.000 0.000 0.500

3 | # Ag2OsW, relaxed, DFT PBE-GGA
# - M_tot (Bohr magnetons per cell) = 2.90
data_Ag2OsW
_chemical_formula_sum 'Ag8 Os4 W4'
_space_group_name_H-M_alt 'I -4 2 d'
_space_group_IT_number 122
_space_group_name_Hall 'I -4 2bw'
_cell_length_a 7.454
_cell_length_b 7.454
_cell_length_c 5.156
_cell_angle_alpha 90.00
_cell_angle_beta 90.00
_cell_angle_gamma 90.00
loop_
_atom_site_label
_atom_site_fract_x
_atom_site_fract_y
_atom_site_fract_z
Ag1 0.247 0.250 0.125
Os1 0.000 0.000 0.000
W1 0.000 0.000 0.500

Which structure is most stable, and how do the rest compare? From most to least stable: 2, 1, 3.

1 | # Ag2OsW, relaxed, DFT PBE-GGA
# - M_tot (Bohr magnetons per cell) = 0.00
data_Ag2OsW
_chemical_formula_sum 'Ag6 Os3 W3'
_space_group_name_H-M_alt 'R 3 m'
_space_group_IT_number 160
_space_group_name_Hall 'R 3 -2"'
_cell_length_a 2.8057
_cell_length_b 2.8057
_cell_length_c 28.9795
_cell_angle_alpha 90.00
_cell_angle_beta 90.00
_cell_angle_gamma 120.00
loop_
_atom_site_label
_atom_site_fract_x
_atom_site_fract_y
_atom_site_fract_z
Ag1 0.0000 0.0000 0.0000
Ag2 0.0000 0.0000 0.2463
Os1 0.0000 0.0000 0.4933
W1 0.0000 0.0000 0.7539

2 | # Ag2OsW, relaxed, DFT PBE-GGA
# - M_tot (Bohr magnetons per cell) = 0.00
data_Ag2OsW
_chemical_formula_sum 'Ag8 Os4 W4'
_space_group_name_H-M_alt 'F -4 3 m'
_space_group_IT_number 216
_space_group_name_Hall 'F -4 2 3'
_cell_length_a 6.384
_cell_length_b 6.384
_cell_length_c 6.384
_cell_angle_alpha 90.00
_cell_angle_beta 90.00
_cell_angle_gamma 90.00
loop_
_atom_site_label
_atom_site_fract_x
_atom_site_fract_y
_atom_site_fract_z
Ag1 0.000 0.000 0.000
Ag2 0.250 0.250 0.250
Os1 0.250 0.250 0.750
W1 0.000 0.000 0.500

3 | # Ag2OsW, relaxed, DFT PBE-GGA
# - M_tot (Bohr magnetons per cell) = 0.00
data_Ag2OsW
_chemical_formula_sum 'Ag2 Os1 W1'
_space_group_name_H-M_alt 'P m m m'
_space_group_IT_number 47
_space_group_name_Hall '-P 2 2'
_cell_length_a 2.718
_cell_length_b 4.543
_cell_length_c 5.263
_cell_angle_alpha 90.00
_cell_angle_beta 90.00
_cell_angle_gamma 90.00
loop_
_atom_site_label
_atom_site_fract_x
_atom_site_fract_y
_atom_site_fract_z
Ag1 0.000 0.000 0.250
Os1 0.500 0.500 0.000
W1 0.500 0.500 0.500

4 | # Ag2OsW, relaxed, DFT PBE-GGA
# - M_tot (Bohr magnetons per cell) = 0.00
data_Ag2OsW
_chemical_formula_sum 'Ag4 Os2 W2'
_space_group_name_H-M_alt 'I -4 m 2'
_space_group_IT_number 119
_space_group_name_Hall 'I -4 -2'
_cell_length_a 4.065
_cell_length_b 4.065
_cell_length_c 7.735
_cell_angle_alpha 90.00
_cell_angle_beta 90.00
_cell_angle_gamma 90.00
loop_
_atom_site_label
_atom_site_fract_x
_atom_site_fract_y
_atom_site_fract_z
Ag1 0.000 0.000 0.000
Ag2 0.000 0.500 0.250
Os1 0.000 0.500 0.750
W1 0.000 0.000 0.500

Which structure is most stable, and how do the rest compare? From most to least stable: 1, 4, 2, 3.